A relaxed MnTcSe2 crystal. Source: Alexandria via LeMat-Bulk, functional PBE-GGA.

## Properties
ΔE to the lowest computed polymorph: 416 meV per atom
energy relative to the elements, uncorrected: 44 kJ/mol of formula units
calculated total energy: -6.511 eV/atom
space group: R-3m, No. 166
spin magnetization: 3.4 μB per formula unit

a = 3.2153 Å, b = 3.2153 Å, c = 22.3678 Å
α = 90.00°, β = 90.00°, γ = 120.00°
Element x y z (fractional)
Mn 0.0000 0.0000 0.0000
Mn 0.3333 0.6667 0.6667
Mn 0.6667 0.3333 0.3333
Tc 0.0000 0.0000 0.5000
Tc 0.3333 0.6667 0.1667
Tc 0.6667 0.3333 0.8333
Se 0.0000 0.0000 0.2482
Se 0.0000 0.0000 0.7518
Se 0.3333 0.6667 0.4184
Se 0.3333 0.6667 0.9149
Se 0.6667 0.3333 0.0851
Se 0.6667 0.3333 0.5816